No. 1
Below is AlInO3 after structural relaxation, with properties calculated at the PBE-GGA level.

Computed properties:
N(E_F): 0.000 states/eV per atom
Raw total energy: -64.52 eV for the cell shown

```
data_AlInO3
_symmetry_space_group_name_H-M 'P 63 2 2'
_symmetry_Int_Tables_number 182
_symmetry_space_group_name_Hall 'P 6c 2c'
_cell_length_a 5.1969
_cell_length_b 5.1969
_cell_length_c 4.8574
_cell_angle_alpha 90.00
_cell_angle_beta 90.00
_cell_angle_gamma 120.00
loop_
_atom_site_label
_atom_site_type_symbol
_atom_site_fract_x
_atom_site_fract_y
_atom_site_fract_z
Al1 Al 0.0000 0.0000 0.2500
In1 In 0.3333 0.6667 0.2500
O1 O 0.0000 0.2858 0.5000
```

=====

No. 2
Below is Al2InO after structural relaxation, with properties calculated at the PBE-GGA level.

Computed properties:
N(E_F): 0.095 states/eV per atom
Offset from the most stable computed form: 0.00 eV/f.u.
Raw total energy: -72.89 eV for the cell shown

```
data_Al2InO
_symmetry_space_group_name_H-M 'I -4 2 d'
_symmetry_Int_Tables_number 122
_symmetry_space_group_name_Hall 'I -4 2bw'
_cell_length_a 5.0521
_cell_length_b 5.0521
_cell_length_c 11.2554
_cell_angle_alpha 90.00
_cell_angle_beta 90.00
_cell_angle_gamma 90.00
loop_
_atom_site_label
_atom_site_type_symbol
_atom_site_fract_x
_atom_site_fract_y
_atom_site_fract_z
Al1 Al 0.0853 0.2500 0.1250
In1 In 0.0000 0.0000 0.5000
O1 O 0.0000 0.0000 0.0000
```

=====

No. 3
Below is AlInO2 after structural relaxation, with properties calculated at the PBE-GGA level.

Computed properties:
N(E_F): 0.003 states/eV per atom
Raw total energy: -74.70 eV for the cell shown

```
data_AlInO2
_symmetry_space_group_name_H-M 'R -3 m'
_symmetry_Int_Tables_number 166
_symmetry_space_group_name_Hall '-R 3 2"'
_cell_length_a 2.9058
_cell_length_b 2.9058
_cell_length_c 19.4026
_cell_angle_alpha 90.00
_cell_angle_beta 90.00
_cell_angle_gamma 120.00
loop_
_atom_site_label
_atom_site_type_symbol
_atom_site_fract_x
_atom_site_fract_y
_atom_site_fract_z
Al1 Al 0.0000 0.0000 0.0000
In1 In 0.0000 0.0000 0.5000
O1 O 0.0000 0.0000 0.3831
```

=====

No. 4
Below is AlIn2O2 after structural relaxation, with properties calculated at the PBE-GGA level.

Computed properties:
N(E_F): 0.248 states/eV per atom
Offset from the most stable computed form: 0.00 eV/f.u.
Raw total energy: -48.27 eV for the cell shown

```
data_AlIn2O2
_symmetry_space_group_name_H-M 'P 4/m b m'
_symmetry_Int_Tables_number 127
_symmetry_space_group_name_Hall '-P 4 2ab'
_cell_length_a 5.5387
_cell_length_b 5.5387
_cell_length_c 4.9791
_cell_angle_alpha 90.00
_cell_angle_beta 90.00
_cell_angle_gamma 90.00
loop_
_atom_site_label
_atom_site_type_symbol
_atom_site_fract_x
_atom_site_fract_y
_atom_site_fract_z
Al1 Al 0.0000 0.0000 0.0000
In1 In 0.1835 0.3165 0.5000
O1 O 0.2241 0.2759 0.0000
```

=====

Number 1: formation energy (no corrections) -2.180 eV/atom. Number 2: formation energy (no corrections) -0.760 eV/atom. Number 3: formation energy (no corrections) -2.126 eV/atom. Number 4: formation energy (no corrections) -1.000 eV/atom.